# 1
A relaxed Zr4BeCo3 crystal, computed with GGA-PBE.

Unit cell a=3.3333 b=3.9534 c=9.9753 alpha=90.00 beta=90.00 gamma=90.00
Space group Pmm2 (No. 25)
Symmetry-distinct sites (fractional):
Zr  0.0000  0.0000  0.0000 (multiplicity 1)
Zr  0.0000  0.5000  0.2759 (multiplicity 1)
Zr  0.5000  0.0000  0.4947 (multiplicity 1)
Zr  0.5000  0.5000  0.7773 (multiplicity 1)
Be  0.0000  0.0000  0.7055 (multiplicity 1)
Co  0.0000  0.5000  0.5706 (multiplicity 1)
Co  0.5000  0.0000  0.2262 (multiplicity 1)
Co  0.5000  0.5000  0.0502 (multiplicity 1)

Summary:
- Volume: 131.5 Å³ per cell
- M_tot: 0.00 μB/f.u.

***

# 2
A relaxed Zr2BeCo crystal, computed with GGA-PBE.

Unit cell a=3.0984 b=3.0984 c=6.6905 alpha=90.00 beta=90.00 gamma=90.00
Space group P4mm (No. 99)
Symmetry-distinct sites (fractional):
Zr  0.0000  0.0000  0.0000 (multiplicity 1)
Zr  0.5000  0.5000  0.3363 (multiplicity 1)
Be  0.0000  0.0000  0.6026 (multiplicity 1)
Co  0.5000  0.5000  0.7402 (multiplicity 1)

Summary:
- Volume: 64.2 Å³ per cell
- M_tot: 0.37 μB/f.u.

***

# 3
A relaxed Zr3BeCo3 crystal, computed with GGA-PBE.

Unit cell a=9.4548 b=3.5029 c=13.5669 alpha=90.00 beta=108.11 gamma=90.00
Space group C2/m (No. 12)
Symmetry-distinct sites (fractional):
Zr  0.0240  0.0000  0.3854 (multiplicity 4)
Zr  0.1082  0.0000  0.9235 (multiplicity 4)
Zr  0.2428  0.0000  0.2298 (multiplicity 4)
Be  0.2367  0.5000  0.3884 (multiplicity 4)
Co  0.0289  0.5000  0.2355 (multiplicity 4)
Co  0.1170  0.5000  0.0775 (multiplicity 4)
Co  0.1565  0.5000  0.5322 (multiplicity 4)

Summary:
- Volume: 427.1 Å³ per cell
- M_tot: 0.00 μB/f.u.

***

# 4
A relaxed Zr3Be3Co crystal, computed with GGA-PBE.

Unit cell a=9.3024 b=3.8443 c=12.6124 alpha=90.00 beta=111.29 gamma=90.00
Space group C2/m (No. 12)
Symmetry-distinct sites (fractional):
Zr  0.0267  0.0000  0.3765 (multiplicity 4)
Zr  0.1049  0.0000  0.9250 (multiplicity 4)
Zr  0.2428  0.5000  0.7755 (multiplicity 4)
Be  0.0633  0.5000  0.2374 (multiplicity 4)
Be  0.1001  0.5000  0.0784 (multiplicity 4)
Be  0.1335  0.5000  0.5448 (multiplicity 4)
Co  0.2460  0.5000  0.4154 (multiplicity 4)

Summary:
- Volume: 420.3 Å³ per cell
- M_tot: 0.00 μB/f.u.

***

| no. | theoretical density (g/cm³) | formation enthalpy at 0 K (eV/atom) |
| --- | --- | --- |
| 1 | 6.96 | -0.289 |
| 2 | 6.47 | -0.078 |
| 3 | 7.15 | -0.307 |
| 4 | 5.68 | -0.186 |